NdPd15Pb4: optimized geometry, PBE.

SG: P4/mmm, No. 123

Cell lengths 4.134, 4.134, 20.603 Å; angles 90.00, 90.00, 90.00 degrees
Atoms (fractional coordinates):
Pd: 0.500 0.500 0.401
Pd: 0.000 0.500 0.104
Pd: 0.500 0.000 0.302
Pd: 0.500 0.500 0.797
Pd: 0.500 0.500 0.599
Pd: 0.000 0.500 0.500
Pd: 0.500 0.500 0.000
Pd: 0.000 0.500 0.698
Pd: 0.500 0.000 0.896
Pd: 0.500 0.000 0.698
Pd: 0.000 0.500 0.896
Pd: 0.500 0.500 0.203
Pd: 0.500 0.000 0.104
Pd: 0.000 0.500 0.302
Pd: 0.500 0.000 0.500
Pb: 0.000 0.000 0.599
Pb: 0.000 0.000 0.797
Pb: 0.000 0.000 0.203
Pb: 0.000 0.000 0.401
Nd: 0.000 0.000 0.000

Nd2PdPb: optimized geometry, PBE.

SG: Fmmm, No. 69

Cell lengths 6.551, 6.551, 6.611 Å; angles 112.77, 112.77, 102.65 degrees
Atoms (fractional coordinates):
Nd: 0.250 0.750 0.500
Nd: 0.728 0.728 0.000
Nd: 0.272 0.272 0.000
Nd: 0.750 0.250 0.500
Pd: 0.210 0.210 0.421
Pd: 0.790 0.790 0.579
Pb: 0.773 0.227 0.000
Pb: 0.227 0.773 0.000

NdPd2Pb3: optimized geometry, PBE.

SG: Pmc2_1, No. 26

Cell lengths 4.526, 7.575, 8.655 Å; angles 90.00, 90.00, 90.00 degrees
Atoms (fractional coordinates):
Pd: 0.500 0.258 0.147
Pd: 0.000 0.236 0.635
Pd: 0.500 0.758 0.853
Pd: 0.000 0.736 0.365
Pb: 0.000 0.488 0.912
Pb: 0.000 0.346 0.321
Pb: 0.500 0.651 0.169
Pb: 0.500 0.151 0.831
Pb: 0.000 0.988 0.088
Pb: 0.000 0.846 0.679
Nd: 0.500 0.021 0.434
Nd: 0.500 0.521 0.566

NdPd4Pb2: optimized geometry, PBE.

SG: P4_2/mnm, No. 136

Cell lengths 4.525, 8.043, 8.043 Å; angles 90.00, 90.00, 90.00 degrees
Atoms (fractional coordinates):
Pb: 0.500 0.290 0.290
Pb: 0.500 0.710 0.710
Pb: 0.000 0.790 0.210
Pb: 0.000 0.210 0.790
Pd: 0.500 0.862 0.395
Pd: 0.000 0.105 0.362
Pd: 0.000 0.638 0.895
Pd: 0.000 0.362 0.105
Pd: 0.000 0.895 0.638
Pd: 0.500 0.395 0.862
Pd: 0.500 0.605 0.138
Pd: 0.500 0.138 0.605
Nd: 0.500 0.000 0.000
Nd: 0.000 0.500 0.500

Nd2Pd3Pb5: optimized geometry, PBE.

SG: Cmc2_1, No. 36

Cell lengths 4.669, 7.678, 14.133 Å; angles 90.00, 99.51, 90.00 degrees
Atoms (fractional coordinates):
Pd: 0.953 0.477 0.905
Pd: 0.225 0.216 0.450
Pd: 0.775 0.716 0.550
Pd: 0.047 0.977 0.095
Pd: 0.605 0.514 0.210
Pd: 0.395 0.014 0.790
Pb: 0.596 0.888 0.192
Pb: 0.122 0.249 0.243
Pb: 0.290 0.510 0.580
Pb: 0.296 0.934 0.593
Pb: 0.710 0.010 0.420
Pb: 0.049 0.592 0.097
Pb: 0.404 0.388 0.808
Pb: 0.951 0.092 0.903
Pb: 0.878 0.749 0.757
Pb: 0.704 0.434 0.407
Nd: 0.524 0.259 0.048
Nd: 0.828 0.227 0.657
Nd: 0.476 0.759 0.952
Nd: 0.172 0.727 0.343

Nd2Pd6Pb: optimized geometry, PBE.

SG: C2/m, No. 12

Cell lengths 6.220, 5.846, 5.846 Å; angles 60.00, 90.01, 90.01 degrees
Atoms (fractional coordinates):
Nd: 0.804 0.668 0.668
Nd: 0.196 0.332 0.332
Pd: 0.328 0.353 0.823
Pd: 0.327 0.823 0.823
Pd: 0.673 0.177 0.177
Pd: 0.328 0.823 0.353
Pd: 0.672 0.177 0.647
Pd: 0.672 0.647 0.177
Pb: 0.000 0.000 0.000

no.,energy of formation (eV/atom)
1,-0.38
2,-0.56
3,-0.42
4,-0.40
5,-0.48
6,-0.63